ZnCoO2 | GGA+U | optimized geometry

Structure (extended XYZ):
```
16
Lattice="-3.922 -20.163 -1.198 2.021 -0.258 -2.283 3.172 4.041 2.353" Properties=species:S:1:pos:R:3 pbc="T T T"
Zn -0.799 -10.085 0.218
Zn 2.070 -6.295 -1.347
Zn -2.278 -18.295 -2.217
Zn 3.550 1.916 1.088
Co 1.676 -0.670 1.263
Co -0.405 -15.709 -2.392
Co 2.424 -3.515 0.195
Co -1.152 -12.864 -1.323
O -1.075 -14.039 0.422
O 2.346 -2.340 -1.551
O 1.167 -10.299 -0.066
O 0.104 -6.080 -1.063
O 2.658 0.462 -0.038
O -1.387 -16.841 -1.091
O 1.434 -4.646 1.505
O -0.162 -11.733 -2.633
```

## Properties
As for the raw total energy: -5.2010 eV per atom.